(1)
# LiHgP2

An optimized crystal structure of LiHgP2 (GGA-PBE, Alexandria via LeMat-Bulk).

The structure in extended XYZ format:
```
4
Lattice="-1.277 1.543 3.492 0.018 -2.509 1.115 7.019 0.975 2.136" Properties=species:S:1:pos:R:3 pbc="T T T"
Hg 1.121 0.388 2.559
Li 4.639 -0.379 4.184
P 6.285 0.249 2.188
P 4.252 -0.041 1.573
```

Values from the calculation:
The value obtained for the energy of formation is -0.051 eV/atom.



(2)
# Li2HgP2

An optimized crystal structure of Li2HgP2 (GGA-PBE, Alexandria via LeMat-Bulk).

The structure in extended XYZ format:
```
5
Lattice="-3.488 -1.910 -1.127 -0.357 -1.589 3.799 -4.613 2.312 2.781" Properties=species:S:1:pos:R:3 pbc="T T T"
P -2.498 -0.881 1.645
P -5.961 -0.305 3.809
Hg 0.000 0.000 0.000
Li -5.012 -0.673 1.495
Li -3.447 -0.513 3.958
```

Values from the calculation:
The value obtained for the energy of formation is -0.153 eV/atom.



| no. | total moment (μB/atom) | D(E_F) (states/eV per cell) |
| --- | --- | --- |
| 1 | 0.000 | 1.91 |
| 2 | 0.000 | 2.05 |